(1)
Li3NpNi2O6: optimized geometry, PBE with a Hubbard U.

## Properties
* total energy: -6.443 eV per atom
* N(E_F): 0.609 states/eV per atom

Unit cell a=5.337 b=5.337 c=5.246 alpha=98.64 beta=98.64 gamma=120.79
Sites, in units of the cell vectors:
1 Li 0.000 0.000 0.000
2 Li 0.310 0.690 0.000
3 Li 0.690 0.310 0.000
4 Np 0.500 0.500 0.500
5 Ni 0.167 0.833 0.500
6 Ni 0.833 0.167 0.500
7 O 0.088 0.425 0.261
8 O 0.236 0.236 0.733
9 O 0.425 0.088 0.261
10 O 0.575 0.912 0.739
11 O 0.764 0.764 0.267
12 O 0.912 0.575 0.739

***

(2)
Li4NpNi3O8: optimized geometry, PBE with a Hubbard U.

## Properties
* total energy: -6.105 eV per atom

Unit cell a=6.066 b=6.066 c=6.066 alpha=59.96 beta=59.96 gamma=59.96
Sites, in units of the cell vectors:
1 Li 0.000 0.000 0.000
2 Li 0.000 0.500 0.500
3 Li 0.500 0.000 0.500
4 Li 0.500 0.500 0.000
5 Np 0.500 0.500 0.500
6 Ni 0.000 0.000 0.500
7 Ni 0.000 0.500 0.000
8 Ni 0.500 0.000 0.000
9 O 0.239 0.239 0.239
10 O 0.257 0.257 0.743
11 O 0.257 0.743 0.257
12 O 0.257 0.743 0.743
13 O 0.743 0.257 0.257
14 O 0.743 0.257 0.743
15 O 0.743 0.743 0.257
16 O 0.761 0.761 0.761

***

Question: Among the records above, which one has the lowest total energy?
Answer: Li3NpNi2O6